{
  "formula": "CdGa2Sb",
  "functional": "PBE",
  "state": "relaxed",
  "formation_energy_uncorrected_ev_per_atom": 0.071,
  "space_group": "P4/mmm, No. 123",
  "energy_ev_per_atom": -2.7021,
  "polymorph_energy_kj_per_mol_atoms": 0.0,
  "magmom_total_mub_per_cell": 0.00,
  "lattice": [[4.406, 0.000, 0.000], [0.000, 4.559, 0.000], [0.000, 0.000, 4.559]],
  "species": ["Sb", "Ga", "Ga", "Cd"],
  "fractional_positions": [[0.500, 0.000, 0.000], [0.000, 0.000, 0.500], [0.000, 0.500, 0.000], [0.500, 0.500, 0.500]]
}

{
  "formula": "HgBiIrW2",
  "functional": "PBE",
  "state": "relaxed",
  "space_group": "P4/mmm, No. 123",
  "energy_ev_per_atom": -6.3332,
  "magmom_total_mub_per_cell": 1.96,
  "ef_kj_per_mol_atoms": 140.6,
  "lattice": [[4.872, 0.000, 0.000], [0.000, 4.872, 0.000], [0.000, 0.000, 5.134]],
  "species": ["Ir", "Bi", "W", "W", "Hg"],
  "fractional_positions": [[0.000, 0.000, 0.000], [0.500, 0.500, 0.500], [0.000, 0.500, 0.000], [0.500, 0.000, 0.000], [0.000, 0.000, 0.500]]
}

{
  "formula": "BaScPb",
  "functional": "PBE",
  "state": "relaxed",
  "space_group": "P-6m2, No. 187",
  "energy_ev_per_atom": -4.2523,
  "polymorph_energy_kj_per_mol_atoms": 16.7,
  "magmom_total_mub_per_cell": 0.62,
  "ef_kj_per_mol_atoms": -25.5,
  "lattice": [[5.076, 0.000, 0.000], [-2.538, 4.396, 0.000], [0.000, 0.000, 4.984]],
  "species": ["Ba", "Pb", "Sc"],
  "fractional_positions": [[0.000, 0.000, 0.000], [0.667, 0.333, 0.500], [0.333, 0.667, 0.500]]
}

{
  "formula": "Ac4InHgPb2",
  "functional": "PBE",
  "state": "relaxed",
  "space_group": "R-3m, No. 166",
  "energy_ev_per_atom": -3.8265,
  "magmom_total_mub_per_cell": 0.00,
  "ef_kj_per_mol_atoms": -44.9,
  "lattice": [[5.831, 0.000, 0.000], [2.915, 5.050, 0.000], [2.915, 1.683, 9.510]],
  "species": ["Ac", "Ac", "Ac", "Ac", "In", "Hg", "Pb", "Pb"],
  "fractional_positions": [[0.375, 0.375, 0.876], [0.875, 0.875, 0.374], [0.125, 0.125, 0.626], [0.625, 0.625, 0.124], [0.000, 0.000, 0.000], [0.500, 0.500, 0.500], [0.752, 0.752, 0.744], [0.248, 0.248, 0.256]]
}

Quick rundown of V, same order as above: 22.892; 24.374; 37.075; 35.002 A^3/atom